# 1
ScAgTeI2 | meta-GGA SCAN | PBEsol geometry

As for the density of states at the Fermi level: 0.164 states/eV per atom. For the total magnetization, the calculation gives 0.00 μB per formula unit. The value obtained for the energy relative to the elements, uncorrected is -180 kJ/mol of formula units.

The structure belongs to space group P4/mmm (No. 123); the cell edges are 5.535, 5.535 and 5.649 Å and the angles 90.00°, 90.00° and 90.00°. The inequivalent atoms are Sc at (0.000, 0.000, 0.000), Ag at (0.500, 0.500, 0.500), Te at (0.000, 0.000, 0.500) and I at (0.000, 0.500, 0.000).

***

# 2
AgSe3I | meta-GGA SCAN | PBEsol geometry

As for the density of states at the Fermi level: 0.000 states/eV per atom. For the total magnetization, the calculation gives 0.00 μB per formula unit. The value obtained for the energy relative to the elements, uncorrected is -53 kJ/mol of formula units.

The structure belongs to space group Pmna (No. 53); the cell edges are 14.717, 4.696 and 8.044 Å and the angles 90.00°, 90.00° and 90.00°. The inequivalent atoms are Ag at (0.250, 0.194, 0.250), Se at (0.000, 0.106, 0.229), Se at (0.121, 0.127, 0.631) and I at (0.161, 0.500, 0.000).

***

Number 1: calculated total energy -31.64 eV/atom. Number 2: calculated total energy -25.78 eV/atom.